Entry 1:
DFT (GGA-PBE) results for CuTcMoRu after structural relaxation.

The structure in POSCAR format:
```
CuTcMoRu
1.0
-4.212 -0.845 0.443
-1.323 -2.924 2.890
-2.096 1.273 3.555
Mo Cu Tc Ru
1 1 1 1
direct
0.750 0.750 0.750
0.250 0.250 0.250
0.500 0.500 0.500
0.000 0.000 0.000
```

Output
- ρ (g/cm³) = 10.45
- DFT total energy (eV per cell) = -33.8
- magnetization (μB/f.u.) = 0.00
- crystal system = cubic
- space group = F-43m, No. 216

=====

Entry 2:
DFT (GGA-PBE) results for Cu2TcMoRu after structural relaxation.

The structure in POSCAR format:
```
Cu2TcMoRu
1.0
-3.657 -1.985 2.029
2.625 -3.623 1.187
1.054 2.039 3.892
Cu Ru Tc Mo
2 1 1 1
direct
0.500 0.000 0.000
0.000 0.500 0.000
0.000 0.000 0.500
0.500 0.500 0.500
0.000 0.000 0.000
```

Output
- ρ (g/cm³) = 7.24
- DFT total energy (eV per cell) = -29.5
- magnetization (μB/f.u.) = 3.13
- crystal system = tetragonal
- space group = P4/mmm, No. 123

=====

Entry 3:
DFT (GGA-PBE) results for ZnCuMoRu after structural relaxation.

The structure in POSCAR format:
```
ZnCuMoRu
1.0
-2.815 -3.147 0.838
1.223 -4.117 -0.296
0.428 -2.379 3.562
Mo Cu Zn Ru
1 1 1 1
direct
0.750 0.750 0.750
0.000 0.000 0.000
0.250 0.250 0.250
0.500 0.500 0.500
```

Output
- ρ (g/cm³) = 9.60
- DFT total energy (eV per cell) = -25.0
- magnetization (μB/f.u.) = 0.00
- crystal system = cubic
- space group = F-43m, No. 216

=====

Entry 4:
DFT (GGA-PBE) results for CuMoS2 after structural relaxation.

The structure in POSCAR format:
```
CuMoS2
1.0
0.000 3.035 3.035
3.035 0.000 3.035
3.035 3.035 0.000
S Cu Mo
2 1 1
direct
0.250 0.250 0.250
0.750 0.750 0.750
0.000 0.000 0.000
0.500 0.500 0.500
```

Output
- ρ (g/cm³) = 6.64
- distance to the lowest polymorph of the same formula (kJ/mol of atoms) = 42.6
- energy relative to the elements, uncorrected (eV/atom) = 0.095
- DFT total energy (eV per cell) = -22.8
- magnetization (μB/f.u.) = 0.98
- crystal system = cubic
- space group = Fm-3m, No. 225

=====

Entry 5:
DFT (GGA-PBE) results for CuMo3S after structural relaxation.

The structure in POSCAR format:
```
CuMo3S
1.0
-3.842 -0.034 -2.141
-1.937 -1.818 3.506
-0.911 4.005 1.573
Mo Cu S
3 1 1
direct
0.500 0.000 0.000
0.000 0.500 0.000
0.000 0.000 0.500
0.500 0.500 0.500
0.000 0.000 0.000
```

Output
- ρ (g/cm³) = 7.48
- distance to the lowest polymorph of the same formula (kJ/mol of atoms) = 0.0
- energy relative to the elements, uncorrected (eV/atom) = 0.694
- DFT total energy (eV per cell) = -37.2
- magnetization (μB/f.u.) = 0.00
- crystal system = cubic
- space group = Pm-3m, No. 221

=====

Entry 6:
DFT (GGA-PBE) results for CuMoS after structural relaxation.

The structure in POSCAR format:
```
CuMoS
1.0
-1.147 1.571 2.475
1.830 -3.993 1.380
4.926 4.539 -0.597
Cu Mo S
2 2 2
direct
0.619 0.237 0.448
0.381 0.763 0.552
0.855 0.710 0.176
0.145 0.290 0.824
0.847 0.693 0.817
0.153 0.307 0.183
```

Output
- ρ (g/cm³) = 7.39
- energy relative to the elements, uncorrected (eV/atom) = -0.064
- DFT total energy (eV per cell) = -38.5
- magnetization (μB/f.u.) = 0.00
- crystal system = monoclinic
- space group = C2/m, No. 12

=====

Entry 7:
DFT (GGA-PBE) results for CuMo3S after structural relaxation.

The structure in POSCAR format:
```
CuMo3S
1.0
4.539 0.000 0.000
0.000 4.539 0.000
0.000 0.000 4.539
Mo S Cu
3 1 1
direct
0.000 0.500 0.000
0.500 0.000 0.000
0.000 0.000 0.500
0.500 0.500 0.500
0.000 0.000 0.000
```

Output
- ρ (g/cm³) = 6.81
- distance to the lowest polymorph of the same formula (kJ/mol of atoms) = 110.2
- energy relative to the elements, uncorrected (eV/atom) = 1.837
- DFT total energy (eV per cell) = -31.5
- magnetization (μB/f.u.) = 0.00
- crystal system = cubic
- space group = Pm-3m, No. 221

=====

Entry 8:
DFT (GGA-PBE) results for CuMoS2 after structural relaxation.

The structure in POSCAR format:
```
CuMoS2
1.0
5.366 0.000 0.000
0.000 5.366 0.000
2.683 2.683 5.279
Mo S Cu
2 4 2
direct
0.000 0.000 0.000
0.750 0.250 0.500
0.621 0.125 0.250
0.875 0.871 0.750
0.129 0.625 0.250
0.375 0.379 0.750
0.500 0.500 0.000
0.250 0.750 0.500
```

Output
- ρ (g/cm³) = 4.89
- distance to the lowest polymorph of the same formula (kJ/mol of atoms) = 17.4
- energy relative to the elements, uncorrected (eV/atom) = -0.166
- DFT total energy (eV per cell) = -47.7
- magnetization (μB/f.u.) = 1.01
- crystal system = tetragonal
- space group = I-42d, No. 122

=====

Entry 9:
DFT (GGA-PBE) results for CuMoS2 after structural relaxation.

The structure in POSCAR format:
```
CuMoS2
1.0
1.862 0.000 7.514
-0.931 1.612 7.514
-0.931 -1.612 7.514
S Cu Mo
2 1 1
direct
0.097 0.097 0.097
0.903 0.903 0.903
0.000 0.000 0.000
0.500 0.500 0.500
```

Output
- ρ (g/cm³) = 5.49
- distance to the lowest polymorph of the same formula (kJ/mol of atoms) = 0.0
- energy relative to the elements, uncorrected (eV/atom) = -0.346
- DFT total energy (eV per cell) = -24.6
- magnetization (μB/f.u.) = 0.00
- crystal system = trigonal
- space group = R-3m, No. 166

=====

Entry 10:
DFT (GGA-PBE) results for CuMoS3 after structural relaxation.

The structure in POSCAR format:
```
CuMoS3
1.0
-3.431 1.612 -2.726
-3.014 -0.428 3.540
0.972 4.361 1.355
Cu Mo S
1 1 3
direct
0.500 0.500 0.500
0.000 0.000 0.000
0.000 0.500 0.000
0.000 0.000 0.500
0.500 0.000 0.000
```

Output
- ρ (g/cm³) = 4.17
- distance to the lowest polymorph of the same formula (kJ/mol of atoms) = 0.0
- energy relative to the elements, uncorrected (eV/atom) = 0.352
- DFT total energy (eV per cell) = -25.6
- magnetization (μB/f.u.) = 0.00
- crystal system = cubic
- space group = Pm-3m, No. 221

=====

Entry 11:
DFT (GGA-PBE) results for CuMoS3 after structural relaxation.

The structure in POSCAR format:
```
CuMoS3
1.0
4.456 0.000 0.000
0.000 4.456 0.000
0.000 0.000 4.456
Mo S Cu
1 3 1
direct
0.500 0.500 0.500
0.000 0.500 0.000
0.500 0.000 0.000
0.000 0.000 0.500
0.000 0.000 0.000
```

Output
- ρ (g/cm³) = 4.80
- distance to the lowest polymorph of the same formula (kJ/mol of atoms) = 44.1
- energy relative to the elements, uncorrected (eV/atom) = 0.809
- DFT total energy (eV per cell) = -23.3
- magnetization (μB/f.u.) = 2.52
- crystal system = cubic
- space group = Pm-3m, No. 221

=====

Entry 12:
DFT (GGA-PBE) results for TiCu2MoS after structural relaxation.

The structure in POSCAR format:
```
TiCu2MoS
1.0
-1.722 0.750 3.795
3.861 -1.227 1.995
1.362 4.005 -0.173
Ti Mo Cu S
1 1 2 1
direct
0.500 0.500 0.500
0.000 0.500 0.000
0.000 0.000 0.500
0.500 0.000 0.000
0.000 0.000 0.000
```

Output
- ρ (g/cm³) = 6.21
- energy relative to the elements, uncorrected (eV/atom) = 0.464
- DFT total energy (eV per cell) = -28.7
- magnetization (μB/f.u.) = 0.00
- crystal system = tetragonal
- space group = P4/mmm, No. 123

=====

Entry 13:
DFT (GGA-PBE) results for Y2CuMoS after structural relaxation.

The structure in POSCAR format:
```
Y2CuMoS
1.0
-4.586 2.733 1.119
-1.031 -0.144 -3.875
-2.599 -4.716 0.867
Y Cu Mo S
2 1 1 1
direct
0.500 0.000 0.000
0.000 0.000 0.500
0.000 0.000 0.000
0.500 0.500 0.500
0.000 0.500 0.000
```

Output
- ρ (g/cm³) = 5.14
- energy relative to the elements, uncorrected (eV/atom) = 0.574
- DFT total energy (eV per cell) = -29.1
- magnetization (μB/f.u.) = 1.59
- crystal system = tetragonal
- space group = P4/mmm, No. 123

=====

Entry 14:
DFT (GGA-PBE) results for ZnCu2MoS after structural relaxation.

The structure in POSCAR format:
```
ZnCu2MoS
1.0
4.252 0.000 0.000
0.000 4.529 0.000
0.000 0.000 4.252
Cu S Mo Zn
2 1 1 1
direct
0.500 0.000 0.000
0.000 0.000 0.500
0.000 0.000 0.000
0.000 0.500 0.000
0.500 0.500 0.500
```

Output
- ρ (g/cm³) = 6.50
- energy relative to the elements, uncorrected (eV/atom) = 0.468
- DFT total energy (eV per cell) = -22.1
- magnetization (μB/f.u.) = 0.00
- crystal system = tetragonal
- space group = P4/mmm, No. 123

=====

Entry 15:
DFT (GGA-PBE) results for Cu3SbMo after structural relaxation.

The structure in POSCAR format:
```
Cu3SbMo
1.0
4.772 0.000 0.000
0.000 4.772 0.000
0.000 0.000 4.772
Cu Sb Mo
3 1 1
direct
0.500 0.000 0.000
0.000 0.500 0.000
0.000 0.000 0.500
0.000 0.000 0.000
0.500 0.500 0.500
```

Output
- ρ (g/cm³) = 6.24
- distance to the lowest polymorph of the same formula (kJ/mol of atoms) = 0.0
- energy relative to the elements, uncorrected (eV/atom) = 1.292
- DFT total energy (eV per cell) = -20.8
- magnetization (μB/f.u.) = 4.48
- crystal system = cubic
- space group = Pm-3m, No. 221